## BaZr2Ag (PBE)

Data for a relaxed structure of BaZr2Ag.

a = 4.4628 Å, b = 4.4628 Å, c = 10.7645 Å
α = 90.00°, β = 90.00°, γ = 90.00°
Space group I4/mmm (No. 139)
Asymmetric unit:
Ba 0.0000 0.0000 0.0000 [2 per cell]
Zr 0.0000 0.5000 0.2500 [4 per cell]
Ag 0.0000 0.0000 0.5000 [2 per cell]

Values from the calculation:
The offset from the most stable computed form is 167.3 kJ/mol of formula units. Its formation energy is 548 meV per atom.

## BaZr2Ag (PBE)

Data for a relaxed structure of BaZr2Ag.

a = 7.2649 Å, b = 7.2649 Å, c = 7.2649 Å
α = 90.00°, β = 90.00°, γ = 90.00°
Space group Fm-3m (No. 225)
Asymmetric unit:
Ba 0.0000 0.0000 0.0000 [4 per cell]
Zr 0.2500 0.2500 0.2500 [8 per cell]
Ag 0.0000 0.0000 0.5000 [4 per cell]

Values from the calculation:
The offset from the most stable computed form is 195.8 kJ/mol of formula units. Its formation energy is 622 meV per atom.